(1)
This record from Alexandria via LeMat-Bulk describes an optimized crystal structure of Sc3TaCo. The functional is PBE-GGA.

```
data_Sc3TaCo
_chemical_formula_sum 'Sc3 Ta1 Co1'
_cell_length_a 4.998
_cell_length_b 4.998
_cell_length_c 4.998
_cell_angle_alpha 90.00
_cell_angle_beta 90.00
_cell_angle_gamma 90.00
_symmetry_space_group_name_H-M 'P 1'
_symmetry_Int_Tables_number 1
_symmetry_space_group_name_Hall 'P 1'
loop_
_atom_site_label
_atom_site_fract_x
_atom_site_fract_y
_atom_site_fract_z
Sc1 0.000 0.000 0.500
Sc2 0.000 0.500 0.000
Sc3 0.500 0.000 0.000
Ta1 0.000 0.000 0.000
Co1 0.500 0.500 0.500
```

Computed properties:
E: -6.36 eV per atom
Density of states at the Fermi level: 2.074 states/eV/atom
Crystal system: cubic
M_tot: 0.04 μB per formula unit



(2)
This record from Alexandria via LeMat-Bulk describes an optimized crystal structure of Sc3TaCo8. The functional is PBE-GGA.

```
data_Sc3TaCo8
_chemical_formula_sum 'Sc3 Ta1 Co8'
_cell_length_a 8.362
_cell_length_b 8.362
_cell_length_c 8.362
_cell_angle_alpha 33.61
_cell_angle_beta 33.61
_cell_angle_gamma 33.61
_symmetry_space_group_name_H-M 'P 1'
_symmetry_Int_Tables_number 1
_symmetry_space_group_name_Hall 'P 1'
loop_
_atom_site_label
_atom_site_fract_x
_atom_site_fract_y
_atom_site_fract_z
Sc1 0.000 0.000 0.000
Sc2 0.125 0.125 0.125
Sc3 0.627 0.627 0.627
Ta1 0.502 0.502 0.502
Co1 0.064 0.064 0.557
Co2 0.064 0.557 0.064
Co3 0.068 0.564 0.564
Co4 0.313 0.313 0.313
Co5 0.557 0.064 0.064
Co6 0.564 0.068 0.564
Co7 0.564 0.564 0.068
Co8 0.813 0.813 0.813
```

Computed properties:
E: -7.60 eV per atom
Density of states at the Fermi level: 1.273 states/eV/atom
Crystal system: trigonal
M_tot: 5.49 μB per formula unit



(3)
This record from Alexandria via LeMat-Bulk describes an optimized crystal structure of Sc2TaCo2. The functional is PBE-GGA.

```
data_Sc2TaCo2
_chemical_formula_sum 'Sc4 Ta2 Co4'
_cell_length_a 3.889
_cell_length_b 5.253
_cell_length_c 8.309
_cell_angle_alpha 90.00
_cell_angle_beta 90.00
_cell_angle_gamma 90.00
_symmetry_space_group_name_H-M 'P 1'
_symmetry_Int_Tables_number 1
_symmetry_space_group_name_Hall 'P 1'
loop_
_atom_site_label
_atom_site_fract_x
_atom_site_fract_y
_atom_site_fract_z
Sc1 0.000 0.000 0.206
Sc2 0.000 0.000 0.794
Sc3 0.500 0.500 0.294
Sc4 0.500 0.500 0.706
Ta1 0.000 0.500 0.000
Ta2 0.500 0.000 0.500
Co1 0.000 0.282 0.500
Co2 0.000 0.718 0.500
Co3 0.500 0.218 0.000
Co4 0.500 0.782 0.000
```

Computed properties:
E: -7.99 eV per atom
Density of states at the Fermi level: 0.670 states/eV/atom
Crystal system: orthorhombic
Excess energy over the best structure of this formula in the dataset: 0.0 meV/atom
M_tot: 0.00 μB per formula unit



(4)
This record from Alexandria via LeMat-Bulk describes an optimized crystal structure of ScTaCo. The functional is PBE-GGA.

```
data_ScTaCo
_chemical_formula_sum 'Sc4 Ta4 Co4'
_cell_length_a 6.957
_cell_length_b 6.957
_cell_length_c 7.746
_cell_angle_alpha 93.65
_cell_angle_beta 93.65
_cell_angle_gamma 34.58
_symmetry_space_group_name_H-M 'P 1'
_symmetry_Int_Tables_number 1
_symmetry_space_group_name_Hall 'P 1'
loop_
_atom_site_label
_atom_site_fract_x
_atom_site_fract_y
_atom_site_fract_z
Sc1 0.056 0.056 0.348
Sc2 0.421 0.421 0.157
Sc3 0.579 0.579 0.843
Sc4 0.944 0.944 0.652
Ta1 0.198 0.198 0.063
Ta2 0.218 0.218 0.648
Ta3 0.782 0.782 0.352
Ta4 0.802 0.802 0.937
Co1 0.374 0.374 0.478
Co2 0.374 0.374 0.827
Co3 0.626 0.626 0.173
Co4 0.626 0.626 0.522
```

Computed properties:
E: -8.42 eV per atom
Density of states at the Fermi level: 0.784 states/eV/atom
Crystal system: monoclinic
Excess energy over the best structure of this formula in the dataset: 102.0 meV/atom
M_tot: 0.00 μB per formula unit



What is the formula in the second record? Sc3TaCo8



What is the formula in the second record? Sc3TaCo8



What did the fourth record say?
This record from Alexandria via LeMat-Bulk describes an optimized crystal structure of ScTaCo. The functional is PBE-GGA.

```
data_ScTaCo
_chemical_formula_sum 'Sc4 Ta4 Co4'
_cell_length_a 6.957
_cell_length_b 6.957
_cell_length_c 7.746
_cell_angle_alpha 93.65
_cell_angle_beta 93.65
_cell_angle_gamma 34.58
_symmetry_space_group_name_H-M 'P 1'
_symmetry_Int_Tables_number 1
_symmetry_space_group_name_Hall 'P 1'
loop_
_atom_site_label
_atom_site_fract_x
_atom_site_fract_y
_atom_site_fract_z
Sc1 0.056 0.056 0.348
Sc2 0.421 0.421 0.157
Sc3 0.579 0.579 0.843
Sc4 0.944 0.944 0.652
Ta1 0.198 0.198 0.063
Ta2 0.218 0.218 0.648
Ta3 0.782 0.782 0.352
Ta4 0.802 0.802 0.937
Co1 0.374 0.374 0.478
Co2 0.374 0.374 0.827
Co3 0.626 0.626 0.173
Co4 0.626 0.626 0.522
```

Computed properties:
E: -8.42 eV per atom
Density of states at the Fermi level: 0.784 states/eV/atom
Crystal system: monoclinic
Excess energy over the best structure of this formula in the dataset: 102.0 meV/atom
M_tot: 0.00 μB per formula unit



Among the records above, which one has the lowest E? ScTaCo